# ZrGaPd

A geometry-optimized ZrGaPd structure (PBE-GGA, Alexandria via LeMat-Bulk).

Lattice parameters (Å, degrees): 4.4006 4.4006 4.4006 60.00 60.00 60.00
With the nearest neighbours (Å) after each atom.
Element x y z (fractional)
Zr (0.0000, 0.0000, 0.0000)  4 Pd 2.69
Ga (0.5000, 0.5000, 0.5000)  4 Pd 2.69
Pd (0.7500, 0.7500, 0.7500)  4 Zr 2.69, 4 Ga 2.69

Results
**SG**: F-43m
**Fermi-level density of states**: 6.3 states/eV per cell
**Calculated formation energy**: -1.64 eV/f.u.